This record from Alexandria describes a relaxed structure of Zn3MoO6. The functional is PBE with a Hubbard U.

Structure (CIF):
```
data_Zn3MoO6
_cell_length_a 8.7859
_cell_length_b 8.7859
_cell_length_c 10.3749
_cell_angle_alpha 90.00
_cell_angle_beta 90.00
_cell_angle_gamma 120.00
_space_group_name_H-M_alt 'R -3'
_space_group_IT_number 148
_space_group_name_Hall '-R 3'
loop_
_atom_site_label
_atom_site_type_symbol
_atom_site_fract_x
_atom_site_fract_y
_atom_site_fract_z
_atom_site_occupancy
Zn1 Zn 0.0409 0.2726 0.2128 1
Mo1 Mo 0.0000 0.0000 0.0000 1
Mo2 Mo 0.0000 0.0000 0.5000 1
O1 O 0.0044 0.1804 0.8872 1
O2 O 0.0229 0.1948 0.3962 1
```

Summary:
**Uncorrected energy**: -5.445 eV/atom